1.
A plane-wave DFT calculation with GGA-PBE was carried out for a relaxed structure of BaCdAu4.

Space-group type   Cmcm
Spin magnetization   0.00 μB/f.u.
Energy relative to the elements   -0.339 eV/atom
Total DFT energy (no corrections)   -36.0 eV per cell

The structure in CIF format:
```
data_BaCdAu4
_symmetry_space_group_name_H-M 'P 1'
_symmetry_Int_Tables_number 1
_cell_length_a 5.228
_cell_length_b 7.068
_cell_length_c 8.705
_cell_angle_alpha 90.00
_cell_angle_beta 107.47
_cell_angle_gamma 90.00
loop_
_symmetry_equiv_pos_as_xyz
'x,y,z'
loop_
_atom_site_label
_atom_site_fract_x
_atom_site_fract_y
_atom_site_fract_z
_atom_site_occupancy
Ba1 0.395 0.750 0.791 1
Ba2 0.605 0.250 0.209 1
Cd1 0.138 0.750 0.276 1
Cd2 0.862 0.250 0.724 1
Au1 0.246 0.444 0.491 1
Au2 0.754 0.556 0.509 1
Au3 0.246 0.056 0.491 1
Au4 0.754 0.944 0.509 1
Au5 0.589 0.750 0.179 1
Au6 0.411 0.250 0.821 1
Au7 0.000 0.500 0.000 1
Au8 0.000 0.000 0.000 1
```


2.
A plane-wave DFT calculation with GGA-PBE was carried out for a relaxed structure of CaTbPrAg.

Space-group type   P4mm
Spin magnetization   0.00 μB/f.u.
Energy relative to the elements   -0.131 eV/atom
Total DFT energy (no corrections)   -14.8 eV per cell

The structure in CIF format:
```
data_CaTbPrAg
_symmetry_space_group_name_H-M 'P 1'
_symmetry_Int_Tables_number 1
_cell_length_a 3.666
_cell_length_b 3.666
_cell_length_c 9.163
_cell_angle_alpha 90.00
_cell_angle_beta 90.00
_cell_angle_gamma 90.00
loop_
_symmetry_equiv_pos_as_xyz
'x,y,z'
loop_
_atom_site_label
_atom_site_fract_x
_atom_site_fract_y
_atom_site_fract_z
_atom_site_occupancy
Ca1 0.500 0.500 0.769 1
Tb1 0.500 0.500 0.367 1
Pr1 0.000 0.000 0.092 1
Ag1 0.000 0.000 0.557 1
```


3.
A plane-wave DFT calculation with GGA-PBE was carried out for a relaxed structure of BAsC2.

Space-group type   Cm
Spin magnetization   0.00 μB/f.u.
Energy relative to the elements   0.716 eV/atom
Total DFT energy (no corrections)   -53.8 eV per cell

The structure in CIF format:
```
data_BAsC2
_symmetry_space_group_name_H-M 'P 1'
_symmetry_Int_Tables_number 1
_cell_length_a 4.449
_cell_length_b 2.710
_cell_length_c 7.146
_cell_angle_alpha 90.00
_cell_angle_beta 93.55
_cell_angle_gamma 90.00
loop_
_symmetry_equiv_pos_as_xyz
'x,y,z'
loop_
_atom_site_label
_atom_site_fract_x
_atom_site_fract_y
_atom_site_fract_z
_atom_site_occupancy
As1 0.887 0.000 0.607 1
As2 0.887 0.500 0.107 1
B1 0.272 0.000 0.417 1
B2 0.272 0.500 0.917 1
C1 0.441 0.000 0.624 1
C2 0.441 0.500 0.124 1
C3 0.269 0.000 0.793 1
C4 0.269 0.500 0.293 1
```


4.
A plane-wave DFT calculation with GGA-PBE was carried out for a relaxed structure of TaSbP2.

Energy relative to the elements, uncorrected   0.3258 eV/atom
Space-group type   Cmmm
Spin magnetization   0.00 μB/f.u.
Total DFT energy (no corrections)   -25.5 eV per cell

The structure in CIF format:
```
data_TaSbP2
_symmetry_space_group_name_H-M 'P 1'
_symmetry_Int_Tables_number 1
_cell_length_a 4.606
_cell_length_b 4.606
_cell_length_c 3.291
_cell_angle_alpha 90.00
_cell_angle_beta 90.00
_cell_angle_gamma 99.02
loop_
_symmetry_equiv_pos_as_xyz
'x,y,z'
loop_
_atom_site_label
_atom_site_fract_x
_atom_site_fract_y
_atom_site_fract_z
_atom_site_occupancy
P1 0.000 0.000 0.000 1
P2 0.500 0.500 0.000 1
Sb1 0.500 0.000 0.500 1
Ta1 0.000 0.500 0.500 1
```


5.
A plane-wave DFT calculation with GGA-PBE was carried out for a relaxed structure of Be3RuRh.

Space-group type   Pm-3m
Spin magnetization   0.01 μB/f.u.
Energy relative to the elements   0.553 eV/atom
Total DFT energy (no corrections)   -25.0 eV per cell

The structure in CIF format:
```
data_Be3RuRh
_symmetry_space_group_name_H-M 'P 1'
_symmetry_Int_Tables_number 1
_cell_length_a 3.999
_cell_length_b 3.999
_cell_length_c 3.999
_cell_angle_alpha 90.00
_cell_angle_beta 90.00
_cell_angle_gamma 90.00
loop_
_symmetry_equiv_pos_as_xyz
'x,y,z'
loop_
_atom_site_label
_atom_site_fract_x
_atom_site_fract_y
_atom_site_fract_z
_atom_site_occupancy
Ru1 0.500 0.500 0.500 1
Rh1 0.000 0.000 0.000 1
Be1 0.000 0.500 0.000 1
Be2 0.000 0.000 0.500 1
Be3 0.500 0.000 0.000 1
```


6.
A plane-wave DFT calculation with GGA-PBE was carried out for a relaxed structure of BaTcPd3.

Space-group type   Pm-3m
Spin magnetization   0.00 μB/f.u.
Energy relative to the elements   0.348 eV/atom
Total DFT energy (no corrections)   -26.1 eV per cell

The structure in CIF format:
```
data_BaTcPd3
_symmetry_space_group_name_H-M 'P 1'
_symmetry_Int_Tables_number 1
_cell_length_a 4.949
_cell_length_b 4.949
_cell_length_c 4.949
_cell_angle_alpha 90.00
_cell_angle_beta 90.00
_cell_angle_gamma 90.00
loop_
_symmetry_equiv_pos_as_xyz
'x,y,z'
loop_
_atom_site_label
_atom_site_fract_x
_atom_site_fract_y
_atom_site_fract_z
_atom_site_occupancy
Ba1 0.500 0.500 0.500 1
Pd1 0.000 0.500 0.000 1
Pd2 0.000 0.000 0.500 1
Pd3 0.500 0.000 0.000 1
Tc1 0.000 0.000 0.000 1
```


7.
A plane-wave DFT calculation with GGA-PBE was carried out for a relaxed structure of KCa2Ag.

Space-group type   P4/mmm
Spin magnetization   0.00 μB/f.u.
Energy relative to the elements   0.143 eV/atom
Total DFT energy (no corrections)   -7.4 eV per cell

The structure in CIF format:
```
data_KCa2Ag
_symmetry_space_group_name_H-M 'P 1'
_symmetry_Int_Tables_number 1
_cell_length_a 5.292
_cell_length_b 5.291
_cell_length_c 5.104
_cell_angle_alpha 90.00
_cell_angle_beta 90.00
_cell_angle_gamma 90.00
loop_
_symmetry_equiv_pos_as_xyz
'x,y,z'
loop_
_atom_site_label
_atom_site_fract_x
_atom_site_fract_y
_atom_site_fract_z
_atom_site_occupancy
Ag1 0.000 0.500 0.500 1
Ca1 0.000 0.000 0.000 1
Ca2 0.500 0.500 0.000 1
K1 0.500 0.000 0.500 1
```


8.
A plane-wave DFT calculation with GGA-PBE was carried out for a relaxed structure of Y4TePS2.

Energy relative to the elements, uncorrected   -1.7440 eV/atom
Space-group type   P2/m
Spin magnetization   0.00 μB/f.u.
Total DFT energy (no corrections)   -56.6 eV per cell

The structure in CIF format:
```
data_Y4TePS2
_symmetry_space_group_name_H-M 'P 1'
_symmetry_Int_Tables_number 1
_cell_length_a 4.026
_cell_length_b 6.973
_cell_length_c 7.159
_cell_angle_alpha 70.98
_cell_angle_beta 90.00
_cell_angle_gamma 90.00
loop_
_symmetry_equiv_pos_as_xyz
'x,y,z'
loop_
_atom_site_label
_atom_site_fract_x
_atom_site_fract_y
_atom_site_fract_z
_atom_site_occupancy
Y1 0.000 0.773 0.715 1
Y2 0.000 0.227 0.285 1
Y3 0.500 0.753 0.273 1
Y4 0.500 0.247 0.727 1
Te1 0.500 0.500 0.000 1
P1 0.000 0.500 0.500 1
S1 0.000 0.000 0.000 1
S2 0.500 0.000 0.500 1
```